1.
## NaPtSe2N (PBE)

Data for NaPtSe2N after structural relaxation.

Calculated values
Energy relative to the lowest polymorph listed for this composition   0.0 meV/atom
Crystal system   tetragonal

abc: 5.393 5.393 3.669
angles: 90.00 90.00 90.00
Element x y z (fractional)
N  0.000  0.000  0.500
Se  0.500  0.000  0.000
Pt  0.000  0.000  0.000
Na  0.500  0.500  0.500
Se  0.000  0.500  0.000

***

2.
## Ce2ErZn (PBE)

Data for Ce2ErZn after structural relaxation.

Calculated values
ΔE_f   28.94 kJ/mol of atoms
Energy relative to the lowest polymorph listed for this composition   317.0 meV/atom
Crystal system   trigonal

abc: 3.240 3.240 12.228
angles: 82.39 82.39 60.00
Site moments in Bohr magnetons follow the coordinates.
Element x y z (fractional)
Zn  0.000  0.000  0.000  0.00
Er  0.500  0.500  0.500  0.01
Ce  0.086  0.086  0.743  0.52
Ce  0.914  0.914  0.257  0.52

***

3.
## KHg3Au3 (PBE)

Data for KHg3Au3 after structural relaxation.

Calculated values
ΔE_f   -7.45 kJ/mol of atoms
Energy relative to the lowest polymorph listed for this composition   0.0 meV/atom
Crystal system   hexagonal

abc: 4.196 10.029 10.029
angles: 120.00 90.00 90.00
Element x y z (fractional)
Hg  0.750  0.800  0.069
Au  0.250  0.399  0.428
Hg  0.750  0.931  0.731
Hg  0.250  0.069  0.269
Hg  0.250  0.731  0.800
Hg  0.750  0.269  0.200
Au  0.250  0.029  0.601
Au  0.750  0.428  0.029
Au  0.250  0.572  0.971
Hg  0.250  0.200  0.931
K  0.750  0.333  0.667
Au  0.750  0.601  0.572
Au  0.750  0.971  0.399
K  0.250  0.667  0.333

***

4.
## B2C (PBE)

Data for B2C after structural relaxation.

Calculated values
ΔE_f   29.01 kJ/mol of atoms
Energy relative to the lowest polymorph listed for this composition   115.4 meV/atom
Crystal system   monoclinic

abc: 2.707 4.852 6.404
angles: 105.90 90.00 90.00
Element x y z (fractional)
B  0.750  0.589  0.938
C  0.250  0.062  0.960
B  0.250  0.411  0.062
B  0.750  0.010  0.296
B  0.250  0.609  0.599
C  0.750  0.490  0.678
B  0.750  0.116  0.565
B  0.250  0.990  0.704
B  0.250  0.884  0.435
B  0.750  0.391  0.401
C  0.250  0.510  0.322
C  0.750  0.938  0.040